# ZnHPd2Rh | Alexandria | PBE-GGA | optimized geometry
data_ZnHPd2Rh
_chemical_formula_sum 'Zn1 H1 Pd2 Rh1'
_symmetry_space_group_name_H-M 'P 4/m m m'
_symmetry_Int_Tables_number 123
_symmetry_space_group_name_Hall '-P 4 2'
_cell_length_a 3.839
_cell_length_b 3.839
_cell_length_c 4.187
_cell_angle_alpha 90.00
_cell_angle_beta 90.00
_cell_angle_gamma 90.00
loop_
_atom_site_label
_atom_site_type_symbol
_atom_site_fract_x
_atom_site_fract_y
_atom_site_fract_z
Zn1 Zn 0.000 0.000 0.000
H1 H 0.000 0.000 0.500
Pd1 Pd 0.000 0.500 0.500
Rh1 Rh 0.500 0.500 0.000
# Crystal system: tetragonal
# Energy above the lowest structure with this stoichiometry in eV/f.u.: 0.73


# HgWSe2 | Alexandria | PBE-GGA | optimized geometry
data_HgWSe2
_chemical_formula_sum 'Hg2 W2 Se4'
_symmetry_space_group_name_H-M 'I m m m'
_symmetry_Int_Tables_number 71
_symmetry_space_group_name_Hall '-I 2 2'
_cell_length_a 3.000
_cell_length_b 5.203
_cell_length_c 12.090
_cell_angle_alpha 90.00
_cell_angle_beta 90.00
_cell_angle_gamma 90.00
loop_
_atom_site_label
_atom_site_type_symbol
_atom_site_fract_x
_atom_site_fract_y
_atom_site_fract_z
Hg1 Hg 0.000 0.000 0.000
W1 W 0.000 0.000 0.500
Se1 Se 0.000 0.500 0.169
# Crystal system: orthorhombic
# Formation energy (no corrections) in eV per atom: 0.19